i) First-principles (PBE) data for crystalline Ba2GeSb at its relaxed geometry, as listed in Alexandria via LeMat-Bulk.

Unit cell a=7.3826 b=10.2778 c=8.2721 alpha=107.90 beta=90.00 gamma=90.00
Fractional coordinates of all 16 atoms:
Ba1 0.7529 0.1330 0.0339
Ba2 0.2529 0.3670 0.9661
Ba3 0.2471 0.8670 0.9661
Ba4 0.7471 0.6330 0.0339
Ba5 0.7480 0.7683 0.5736
Ba6 0.2480 0.7317 0.4264
Ba7 0.2520 0.2317 0.4264
Ba8 0.7520 0.2683 0.5736
Ge1 0.5435 0.4551 0.3186
Ge2 0.0435 0.0449 0.6814
Ge3 0.4565 0.5449 0.6814
Ge4 0.9565 0.9551 0.3186
Sb1 0.4165 0.0563 0.7233
Sb2 0.9165 0.4437 0.2767
Sb3 0.5835 0.9437 0.2767
Sb4 0.0835 0.5563 0.7233



ii) First-principles (PBE) data for crystalline Ba2GeSb at its relaxed geometry, as listed in Alexandria via LeMat-Bulk.

Unit cell a=9.2096 b=9.2096 c=7.4272 alpha=51.68 beta=51.68 gamma=90.00
Fractional coordinates of all 8 atoms:
Sb1 0.0000 0.0000 0.0000
Sb2 0.7500 0.2500 0.5000
Ge1 0.5000 0.5000 0.0000
Ge2 0.2500 0.7500 0.5000
Ba1 0.6144 0.1250 0.2500
Ba2 0.1356 0.6250 0.2500
Ba3 0.3750 0.3856 0.7500
Ba4 0.8750 0.8644 0.7500



Tell me which of them is the most stable. Sure, it is i).



i) First-principles (PBE) data for crystalline BaGeSb at its relaxed geometry, as listed in Alexandria via LeMat-Bulk.

Unit cell a=4.8779 b=6.9137 c=6.9137 alpha=76.97 beta=69.34 gamma=69.34
Fractional coordinates of all 6 atoms:
Ba1 0.7463 0.2537 0.2537
Ba2 0.2537 0.7463 0.7463
Ge1 0.5000 0.8507 0.1493
Ge2 0.5000 0.1493 0.8507
Sb1 0.0000 0.3176 0.6824
Sb2 0.0000 0.6824 0.3176



ii) First-principles (PBE) data for crystalline BaGeSb at its relaxed geometry, as listed in Alexandria via LeMat-Bulk.

Unit cell a=4.8504 b=4.9160 c=4.9160 alpha=120.00 beta=90.00 gamma=90.00
Fractional coordinates of all 3 atoms:
Sb1 0.1665 0.0000 0.0000
Ge1 0.1670 0.6667 0.3333
Ba1 0.6665 0.3333 0.6667



iii) First-principles (PBE) data for crystalline BaGeSb at its relaxed geometry, as listed in Alexandria via LeMat-Bulk.

Unit cell a=5.2029 b=5.2028 c=10.7309 alpha=77.02 beta=77.01 gamma=47.33
Fractional coordinates of all 6 atoms:
Ba1 0.4496 0.0709 0.7306
Ba2 0.5715 0.1923 0.2981
Ge1 0.8169 0.4379 0.5504
Ge2 0.1997 0.8207 0.4857
Sb1 0.3470 0.9675 0.0717
Sb2 0.0691 0.6898 0.9846



Tell me which of them is the most stable. Sure, it is ii).



i) First-principles (PBE) data for crystalline Ba2GeSb2 at its relaxed geometry, as listed in Alexandria via LeMat-Bulk.

Unit cell a=8.1782 b=8.1782 c=5.2178 alpha=90.00 beta=90.00 gamma=90.00
Fractional coordinates of all 10 atoms:
Sb1 0.3737 0.8737 0.0000
Sb2 0.8737 0.6263 0.0000
Sb3 0.6263 0.1263 0.0000
Sb4 0.1263 0.3737 0.0000
Ge1 0.0000 0.0000 0.0000
Ge2 0.5000 0.5000 0.0000
Ba1 0.1788 0.6788 0.5000
Ba2 0.6788 0.8212 0.5000
Ba3 0.8212 0.3212 0.5000
Ba4 0.3212 0.1788 0.5000



ii) First-principles (PBE) data for crystalline Ba2GeSb2 at its relaxed geometry, as listed in Alexandria via LeMat-Bulk.

Unit cell a=4.5839 b=6.8952 c=12.4774 alpha=79.65 beta=79.42 gamma=70.59
Fractional coordinates of all 10 atoms:
Ba1 0.6863 0.2749 0.3525
Ba2 0.9160 0.2579 0.9101
Ba3 0.3137 0.7251 0.6475
Ba4 0.0840 0.7421 0.0899
Ge1 0.5445 0.1810 0.7299
Ge2 0.4555 0.8190 0.2701
Sb1 0.0656 0.2702 0.5986
Sb2 0.6677 0.8055 0.8590
Sb3 0.9344 0.7298 0.4014
Sb4 0.3323 0.1945 0.1410



Tell me which of them is the most stable. Sure, it is ii).



i) First-principles (PBE) data for crystalline BaGe2Se2 at its relaxed geometry, as listed in Alexandria via LeMat-Bulk.

Unit cell a=3.9713 b=3.9713 c=8.9365 alpha=77.16 beta=77.16 gamma=90.00
Fractional coordinates of all 5 atoms:
Ge1 0.7500 0.2500 0.5000
Ge2 0.2500 0.7500 0.5000
Ba1 0.0000 0.0000 0.0000
Se1 0.3891 0.3891 0.2217
Se2 0.6109 0.6109 0.7783



ii) First-principles (PBE) data for crystalline BaGe2Se2 at its relaxed geometry, as listed in Alexandria via LeMat-Bulk.

Unit cell a=5.4861 b=5.4861 c=5.9921 alpha=62.76 beta=62.76 gamma=90.00
Fractional coordinates of all 5 atoms:
Ge1 0.3482 0.3482 0.3036
Ge2 0.6518 0.6518 0.6964
Ba1 0.0000 0.0000 0.0000
Se1 0.7500 0.2500 0.5000
Se2 0.2500 0.7500 0.5000



Tell me which of them is the most stable. Sure, it is ii).



i) First-principles (PBE) data for crystalline BaGeSe3 at its relaxed geometry, as listed in Alexandria via LeMat-Bulk.

Unit cell a=6.5414 b=9.7095 c=12.7876 alpha=131.17 beta=90.00 gamma=90.00
Fractional coordinates of all 20 atoms:
Ba1 0.2497 0.4996 0.6307
Ba2 0.7503 0.5004 0.3693
Ba3 0.7497 0.5004 0.8693
Ba4 0.2503 0.4996 0.1307
Ge1 0.8284 0.0002 0.4133
Ge2 0.1716 0.9998 0.5867
Ge3 0.3284 0.9998 0.0867
Ge4 0.6716 0.0002 0.9133
Se1 0.7997 0.9999 0.6038
Se2 0.2003 0.0001 0.3962
Se3 0.2997 0.0001 0.8962
Se4 0.7003 0.9999 0.1038
Se5 0.2782 0.7006 0.4846
Se6 0.7218 0.2994 0.5154
Se7 0.7782 0.2994 0.0154
Se8 0.2218 0.7006 0.9846
Se9 0.7217 0.7013 0.2163
Se10 0.2783 0.2987 0.7837
Se11 0.2217 0.2987 0.2837
Se12 0.7783 0.7013 0.7163



ii) First-principles (PBE) data for crystalline BaGeSe3 at its relaxed geometry, as listed in Alexandria via LeMat-Bulk.

Unit cell a=5.3438 b=7.7452 c=7.7587 alpha=77.68 beta=87.00 gamma=87.03
Fractional coordinates of all 10 atoms:
Ba1 0.9793 0.1454 0.5843
Ba2 0.5051 0.7590 0.1979
Ge1 0.7422 0.6212 0.7227
Ge2 0.7427 0.2833 0.0595
Se1 0.5134 0.3484 0.7875
Se2 0.9714 0.5560 0.9948
Se3 0.4984 0.2916 0.3166
Se4 0.4976 0.8780 0.7322
Se5 0.9870 0.0263 0.0499
Se6 0.9862 0.6128 0.4656



iii) First-principles (PBE) data for crystalline BaGeSe3 at its relaxed geometry, as listed in Alexandria via LeMat-Bulk.

Unit cell a=5.1634 b=5.1634 c=5.1634 alpha=90.00 beta=90.00 gamma=90.00
Fractional coordinates of all 5 atoms:
Ge1 0.0000 0.0000 0.0000
Ba1 0.5000 0.5000 0.5000
Se1 0.0000 0.5000 0.0000
Se2 0.0000 0.0000 0.5000
Se3 0.5000 0.0000 0.0000



iv) First-principles (PBE) data for crystalline BaGeSe3 at its relaxed geometry, as listed in Alexandria via LeMat-Bulk.

Unit cell a=6.0522 b=6.0522 c=6.0522 alpha=90.00 beta=90.00 gamma=90.00
Site moments in Bohr magnetons follow the coordinates.
Fractional coordinates of all 5 atoms:
Ge1 0.5000 0.5000 0.5000  -0.29
Ba1 0.0000 0.0000 0.0000  0.04
Se1 0.0000 0.5000 0.0000  0.52
Se2 0.0000 0.0000 0.5000  0.68
Se3 0.5000 0.0000 0.0000  0.42



Tell me which of them is the most stable. Sure, it is i).



i) First-principles (PBE) data for crystalline Ba2Ge2Se5 at its relaxed geometry, as listed in Alexandria via LeMat-Bulk.

Unit cell a=9.2320 b=9.3993 c=12.8470 alpha=90.00 beta=90.00 gamma=90.00
Fractional coordinates of all 36 atoms:
Ba1 0.4961 0.8762 0.1779
Ba2 0.5039 0.3762 0.3221
Ba3 0.9961 0.1238 0.8221
Ba4 0.0039 0.6238 0.6779
Ba5 0.5039 0.1238 0.8221
Ba6 0.4961 0.6238 0.6779
Ba7 0.0039 0.8762 0.1779
Ba8 0.9961 0.3762 0.3221
Ge1 0.7500 0.9742 0.5362
Ge2 0.2500 0.0258 0.4638
Ge3 0.7500 0.5258 0.0362
Ge4 0.2500 0.4742 0.9638
Ge5 0.2500 0.8166 0.9033
Ge6 0.7500 0.3166 0.5967
Ge7 0.7500 0.1834 0.0967
Ge8 0.2500 0.6834 0.4033
Se1 0.2500 0.1177 0.2827
Se2 0.7500 0.6177 0.2173
Se3 0.7500 0.8823 0.7173
Se4 0.2500 0.3823 0.7827
Se5 0.7500 0.5244 0.4939
Se6 0.7500 0.9756 0.9939
Se7 0.2500 0.0244 0.0061
Se8 0.2500 0.4756 0.5061
Se9 0.2500 0.6153 0.2242
Se10 0.7500 0.1153 0.2758
Se11 0.7500 0.3847 0.7758
Se12 0.2500 0.8847 0.7242
Se13 0.0426 0.8277 0.4414
Se14 0.9574 0.3277 0.0586
Se15 0.5426 0.1723 0.5586
Se16 0.4574 0.6723 0.9414
Se17 0.9574 0.1723 0.5586
Se18 0.0426 0.6723 0.9414
Se19 0.4574 0.8277 0.4414
Se20 0.5426 0.3277 0.0586



ii) First-principles (PBE) data for crystalline Ba2Ge2Se5 at its relaxed geometry, as listed in Alexandria via LeMat-Bulk.

Unit cell a=5.6767 b=7.6176 c=7.3903 alpha=109.59 beta=90.00 gamma=111.88
Fractional coordinates of all 9 atoms:
Ba1 0.3918 0.7835 0.6941
Ba2 0.6082 0.2165 0.3059
Ge1 0.1549 0.3098 0.8798
Ge2 0.8451 0.6902 0.1202
Se1 0.3376 0.6752 0.0974
Se2 0.6624 0.3248 0.9026
Se3 0.1461 0.2922 0.5461
Se4 0.8539 0.7078 0.4539
Se5 0.0000 0.0000 0.0000



Tell me which of them is the most stable. Sure, it is i).